Density functional theory data (PBE) for Al2CuPb after structural relaxation.

Computed properties:
The calculation puts the formation energy at 0.293 eV per atom. As for the space-group type: P4/mmm.

Lattice parameters (Å, degrees): 4.101 4.101 4.615 90.00 90.00 90.00
Sites, in units of the cell vectors:
Al: 0.000 0.500 0.000
Al: 0.500 0.000 0.000
Cu: 0.000 0.000 0.500
Pb: 0.500 0.500 0.500

Density functional theory data (PBE) for AlCuPb after structural relaxation.

Computed properties:
The calculation puts the formation energy at 0.155 eV per atom. As for the space-group type: Pnma.

Lattice parameters (Å, degrees): 8.012 4.227 7.529 90.00 90.00 90.00
Sites, in units of the cell vectors:
Al: 0.017 0.250 0.244
Al: 0.483 0.750 0.744
Al: 0.517 0.250 0.256
Al: 0.983 0.750 0.756
Cu: 0.060 0.250 0.918
Cu: 0.440 0.750 0.418
Cu: 0.560 0.250 0.582
Cu: 0.940 0.750 0.082
Pb: 0.203 0.250 0.571
Pb: 0.297 0.750 0.071
Pb: 0.703 0.250 0.929
Pb: 0.797 0.750 0.429

Density functional theory data (PBE) for Al2CuPb after structural relaxation.

Computed properties:
The calculation puts the formation energy at 0.296 eV per atom. As for the space-group type: Imm2.

Lattice parameters (Å, degrees): 5.476 5.476 5.476 143.25 123.95 68.91
Sites, in units of the cell vectors:
Al: 0.000 0.000 0.000
Al: 0.748 0.248 0.500
Cu: 0.201 0.701 0.500
Pb: 0.462 0.462 0.000

Density functional theory data (PBE) for AlCu2Pb after structural relaxation.

Computed properties:
The calculation puts the formation energy at 0.149 eV per atom. As for the space-group type: P4mm.

Lattice parameters (Å, degrees): 3.233 3.233 6.802 90.00 90.00 90.00
Sites, in units of the cell vectors:
Al: 0.000 0.000 0.000
Cu: 0.000 0.000 0.367
Cu: 0.500 0.500 0.187
Pb: 0.500 0.500 0.658

Density functional theory data (PBE) for Al2CuPb after structural relaxation.

Computed properties:
The calculation puts the formation energy at 0.151 eV per atom. As for the space-group type: Pmm2.

Lattice parameters (Å, degrees): 3.045 3.637 7.135 90.00 90.00 90.00
Sites, in units of the cell vectors:
Al: 0.000 0.000 0.000
Al: 0.500 0.500 0.219
Cu: 0.000 0.000 0.368
Pb: 0.500 0.500 0.672

Density functional theory data (PBE) for AlCu2Pb after structural relaxation.

Computed properties:
The calculation puts the formation energy at 0.284 eV per atom. As for the space-group type: Fm-3m.

Lattice parameters (Å, degrees): 4.649 4.649 4.649 60.00 60.00 60.00
Sites, in units of the cell vectors:
Al: 0.000 0.000 0.000
Cu: 0.250 0.250 0.250
Cu: 0.750 0.750 0.750
Pb: 0.500 0.500 0.500

Density functional theory data (PBE) for Al2CuPb after structural relaxation.

Computed properties:
The calculation puts the formation energy at 0.185 eV per atom. As for the space-group type: Amm2.

Lattice parameters (Å, degrees): 4.161 6.084 6.084 31.55 90.00 90.00
Sites, in units of the cell vectors:
Al: 0.000 0.000 0.000
Al: 0.500 0.439 0.439
Cu: 0.500 0.119 0.119
Pb: 0.000 0.740 0.740

Density functional theory data (PBE) for AlCuPb after structural relaxation.

Computed properties:
The calculation puts the formation energy at 0.042 eV per atom. As for the space-group type: P-1.

Lattice parameters (Å, degrees): 4.267 5.064 5.985 73.95 89.34 89.92
Sites, in units of the cell vectors:
Al: 0.249 0.130 0.051
Al: 0.751 0.870 0.949
Cu: 0.250 0.611 0.092
Cu: 0.750 0.389 0.908
Pb: 0.251 0.716 0.578
Pb: 0.749 0.284 0.422

Density functional theory data (PBE) for Al2CuPb after structural relaxation.

Computed properties:
The calculation puts the formation energy at 0.225 eV per atom. As for the space-group type: Immm.

Lattice parameters (Å, degrees): 5.997 5.997 5.997 151.57 129.06 59.36
Sites, in units of the cell vectors:
Al: 0.210 0.210 0.000
Al: 0.790 0.790 0.000
Cu: 0.000 0.500 0.500
Pb: 0.500 0.000 0.500

Density functional theory data (PBE) for AlCuPb3 after structural relaxation.

Computed properties:
The calculation puts the formation energy at 0.717 eV per atom. As for the space-group type: Pm-3m.

Lattice parameters (Å, degrees): 5.438 5.438 5.438 90.00 90.00 90.00
Sites, in units of the cell vectors:
Al: 0.000 0.000 0.000
Cu: 0.500 0.500 0.500
Pb: 0.000 0.000 0.500
Pb: 0.000 0.500 0.000
Pb: 0.500 0.000 0.000

Density functional theory data (PBE) for AlCuPb2 after structural relaxation.

Computed properties:
The calculation puts the formation energy at 0.312 eV per atom. As for the space-group type: C2/m.

Lattice parameters (Å, degrees): 5.296 5.296 3.386 95.13 95.13 97.21
Sites, in units of the cell vectors:
Al: 0.000 0.000 0.000
Cu: 0.500 0.500 0.000
Pb: 0.000 0.500 0.500
Pb: 0.500 0.000 0.500

Density functional theory data (PBE) for AlCuPb2 after structural relaxation.

Computed properties:
The calculation puts the formation energy at 0.077 eV per atom. As for the space-group type: Cm.

Lattice parameters (Å, degrees): 4.251 4.251 7.016 107.99 107.99 60.04
Sites, in units of the cell vectors:
Al: 0.000 0.000 0.000
Cu: 0.332 0.332 0.996
Pb: 0.573 0.573 0.723
Pb: 0.760 0.760 0.275

Density functional theory data (PBE) for Al2CuPb after structural relaxation.

Computed properties:
The calculation puts the formation energy at 0.189 eV per atom. As for the space-group type: R-3m.

Lattice parameters (Å, degrees): 9.087 9.087 9.087 20.41 20.41 20.41
Sites, in units of the cell vectors:
Al: 0.232 0.232 0.232
Al: 0.768 0.768 0.768
Cu: 0.500 0.500 0.500
Pb: 0.000 0.000 0.000

Density functional theory data (PBE) for AlCuPb2 after structural relaxation.

Computed properties:
The calculation puts the formation energy at 0.286 eV per atom. As for the space-group type: P2/m.

Lattice parameters (Å, degrees): 3.439 3.384 8.032 90.00 90.26 90.00
Sites, in units of the cell vectors:
Al: 0.000 0.000 0.000
Cu: 0.000 0.000 0.500
Pb: 0.489 0.500 0.724
Pb: 0.511 0.500 0.276

Density functional theory data (PBE) for AlCuPb after structural relaxation.

Computed properties:
The calculation puts the formation energy at 0.060 eV per atom. As for the space-group type: Pm.

Lattice parameters (Å, degrees): 4.857 4.056 6.476 90.00 94.16 90.00
Sites, in units of the cell vectors:
Al: 0.000 0.000 0.000
Al: 0.290 0.500 0.251
Cu: 0.502 0.000 0.089
Cu: 0.788 0.500 0.162
Pb: 0.418 0.500 0.761
Pb: 0.874 0.000 0.490

Density functional theory data (PBE) for AlCuPb2 after structural relaxation.

Computed properties:
The calculation puts the formation energy at 0.287 eV per atom. As for the space-group type: R-3m.

Lattice parameters (Å, degrees): 8.422 8.422 8.422 25.18 25.18 25.18
Sites, in units of the cell vectors:
Al: 0.000 0.000 0.000
Cu: 0.500 0.500 0.500
Pb: 0.243 0.243 0.243
Pb: 0.757 0.757 0.757

Density functional theory data (PBE) for Al2CuPb2 after structural relaxation.

Computed properties:
The calculation puts the formation energy at 0.198 eV per atom. As for the space-group type: P4/mbm.

Lattice parameters (Å, degrees): 6.642 6.642 5.135 90.00 90.00 90.00
Sites, in units of the cell vectors:
Al: 0.145 0.355 0.000
Al: 0.355 0.855 0.000
Al: 0.645 0.145 0.000
Al: 0.855 0.645 0.000
Cu: 0.000 0.000 0.000
Cu: 0.500 0.500 0.000
Pb: 0.178 0.678 0.500
Pb: 0.322 0.178 0.500
Pb: 0.678 0.822 0.500
Pb: 0.822 0.322 0.500

Density functional theory data (PBE) for AlCuPb2 after structural relaxation.

Computed properties:
The calculation puts the formation energy at 0.156 eV per atom. As for the space-group type: Pm.

Lattice parameters (Å, degrees): 4.263 4.202 5.626 90.00 111.91 90.00
Sites, in units of the cell vectors:
Al: 0.000 0.000 0.000
Cu: 0.868 0.500 0.741
Pb: 0.288 0.000 0.581
Pb: 0.583 0.500 0.169

Density functional theory data (PBE) for Al4CuPb after structural relaxation.

Computed properties:
The calculation puts the formation energy at 0.290 eV per atom. As for the space-group type: F-43m.

Lattice parameters (Å, degrees): 5.481 5.481 5.481 60.00 60.00 60.00
Sites, in units of the cell vectors:
Al: 0.124 0.124 0.124
Al: 0.124 0.124 0.628
Al: 0.124 0.628 0.124
Al: 0.628 0.124 0.124
Cu: 0.750 0.750 0.750
Pb: 0.500 0.500 0.500

Density functional theory data (PBE) for AlCuPb4 after structural relaxation.

Computed properties:
The calculation puts the formation energy at 0.596 eV per atom. As for the space-group type: F-43m.

Lattice parameters (Å, degrees): 6.401 6.401 6.401 60.00 60.00 60.00
Sites, in units of the cell vectors:
Al: 0.000 0.000 0.000
Cu: 0.750 0.750 0.750
Pb: 0.375 0.375 0.375
Pb: 0.375 0.375 0.875
Pb: 0.375 0.875 0.375
Pb: 0.875 0.375 0.375

Number 1: N(E_F) 1.7 states/eV/f.u.. Number 2: N(E_F) 1.2 states/eV/f.u.. Number 3: N(E_F) 1.4 states/eV/f.u.. Number 4: N(E_F) 0.8 states/eV/f.u.. Number 5: N(E_F) 1.5 states/eV/f.u.. Number 6: N(E_F) 2.3 states/eV/f.u.. Number 7: N(E_F) 1.1 states/eV/f.u.. Number 8: N(E_F) 1.1 states/eV/f.u.. Number 9: N(E_F) 1.7 states/eV/f.u.. Number 10: N(E_F) 2.0 states/eV/f.u.. Number 11: N(E_F) 1.2 states/eV/f.u.. Number 12: N(E_F) 0.8 states/eV/f.u.. Number 13: N(E_F) 2.0 states/eV/f.u.. Number 14: N(E_F) 1.6 states/eV/f.u.. Number 15: N(E_F) 1.2 states/eV/f.u.. Number 16: N(E_F) 1.6 states/eV/f.u.. Number 17: N(E_F) 2.3 states/eV/f.u.. Number 18: N(E_F) 1.9 states/eV/f.u.. Number 19: N(E_F) 2.7 states/eV/f.u.. Number 20: N(E_F) 2.6 states/eV/f.u..